Entry 1:
Here is an optimized crystal structure of NdIn12Ir4 from Alexandria via LeMat-Bulk. Energies are from GGA-PBE.

Cell: 9.629 9.629 9.629 Å, 90.00 90.00 90.00°
Space group Im-3 (No. 204)
Symmetry-distinct sites (fractional):
1 Nd 0.000 0.000 0.000 (multiplicity 2)
2 In 0.000 0.328 0.168 (multiplicity 24)
3 Ir 0.250 0.250 0.250 (multiplicity 8)

## Properties
The volume is 892.9 Å³ per cell. Its formation energy is -13 meV per atom. The calculation puts the calculated density at 8.5 g/cm³.

=====

Entry 2:
Here is an optimized crystal structure of Th6RuPt2Se3 from Alexandria via LeMat-Bulk. Energies are from GGA-PBE.

Cell: 18.884 4.145 8.751 Å, 90.00 107.51 90.00°
Space group C2/m (No. 12)
Symmetry-distinct sites (fractional):
1 Th 0.004 0.000 0.228 (multiplicity 4)
2 Th 0.156 0.500 0.092 (multiplicity 4)
3 Th 0.171 0.500 0.572 (multiplicity 4)
4 Ru 0.000 0.500 0.000 (multiplicity 2)
5 Pt 0.167 0.000 0.335 (multiplicity 4)
6 Se 0.000 0.500 0.500 (multiplicity 2)
7 Se 0.169 0.000 0.833 (multiplicity 4)

## Properties
The volume is 653.2 Å³ per cell. The value obtained for the energy is -183.027 eV for the cell shown. The calculation puts the calculated density at 10.8 g/cm³.

=====

Entry 3:
Here is an optimized crystal structure of BaHgSeBr2 from Alexandria via LeMat-Bulk. Energies are from GGA-PBE.

Cell: 5.599 5.599 5.386 Å, 90.00 90.00 90.00°
Space group P4/mmm (No. 123)
Symmetry-distinct sites (fractional):
1 Ba 0.000 0.000 0.000 (multiplicity 1)
2 Hg 0.500 0.500 0.500 (multiplicity 1)
3 Se 0.500 0.500 0.000 (multiplicity 1)
4 Br 0.000 0.500 0.500 (multiplicity 2)

## Properties
The volume is 168.8 Å³ per cell. The energy above the most stable polymorph in this dataset is 0.0000 eV/atom. The calculation puts the calculated density at 5.7 g/cm³.

=====

Entry 4:
Here is an optimized crystal structure of SmZn2Ge from Alexandria via LeMat-Bulk. Energies are from GGA-PBE.

Cell: 3.470 4.626 5.211 Å, 90.00 90.00 90.00°
Space group Pmmm (No. 47)
Symmetry-distinct sites (fractional):
1 Sm 0.000 0.000 0.000 (multiplicity 1)
2 Zn 0.500 0.500 0.245 (multiplicity 2)
3 Ge 0.500 0.000 0.500 (multiplicity 1)

## Properties
The volume is 83.7 Å³ per cell. The energy above the most stable polymorph in this dataset is 0.1937 eV/atom. Its formation energy is -270 meV per atom. The calculation puts the calculated density at 7.0 g/cm³.

=====

Look up the volume of the fourth one.
83.7 Å³ per cell

=====

Repeat the second record exactly.
Here is an optimized crystal structure of Th6RuPt2Se3 from Alexandria via LeMat-Bulk. Energies are from GGA-PBE.

Cell: 18.884 4.145 8.751 Å, 90.00 107.51 90.00°
Space group C2/m (No. 12)
Symmetry-distinct sites (fractional):
1 Th 0.004 0.000 0.228 (multiplicity 4)
2 Th 0.156 0.500 0.092 (multiplicity 4)
3 Th 0.171 0.500 0.572 (multiplicity 4)
4 Ru 0.000 0.500 0.000 (multiplicity 2)
5 Pt 0.167 0.000 0.335 (multiplicity 4)
6 Se 0.000 0.500 0.500 (multiplicity 2)
7 Se 0.169 0.000 0.833 (multiplicity 4)

## Properties
The volume is 653.2 Å³ per cell. The value obtained for the energy is -183.027 eV for the cell shown. The calculation puts the calculated density at 10.8 g/cm³.

=====

Number 3 is which compound?
BaHgSeBr2

=====

The lowest calculated density belongs to which entry?
BaHgSeBr2